# NaPuInPt, optimized geometry, DFT PBE
# ΔH_f (0 K), eV/f.u.: -1.07
# D(E_F), states/eV/cell: 39.71
data_NaPuInPt
_cell_length_a 7.0154
_cell_length_b 7.0154
_cell_length_c 7.0154
_cell_angle_alpha 90.00
_cell_angle_beta 90.00
_cell_angle_gamma 90.00
_space_group_name_H-M_alt 'F -4 3 m'
_space_group_IT_number 216
_space_group_name_Hall 'F -4 2 3'
loop_
_atom_site_label
_atom_site_type_symbol
_atom_site_fract_x
_atom_site_fract_y
_atom_site_fract_z
Na1 Na 0.0000 0.0000 0.0000
Pu1 Pu 0.2500 0.2500 0.2500
In1 In 0.2500 0.2500 0.7500
Pt1 Pt 0.0000 0.0000 0.5000

# Tb3Nd3Tl2, optimized geometry, DFT PBE
# ΔH_f (0 K), eV/f.u.: -0.90
# D(E_F), states/eV/cell: 39.17
# Energy above the most stable polymorph in this dataset, kJ/mol of atoms: 7.7
data_Tb3Nd3Tl2
_cell_length_a 5.2399
_cell_length_b 12.2178
_cell_length_c 16.1105
_cell_angle_alpha 90.00
_cell_angle_beta 90.00
_cell_angle_gamma 90.00
_space_group_name_H-M_alt 'C m c m'
_space_group_IT_number 63
_space_group_name_Hall '-C 2c 2'
loop_
_atom_site_label
_atom_site_type_symbol
_atom_site_fract_x
_atom_site_fract_y
_atom_site_fract_z
Tb1 Tb 0.0000 0.0587 0.2500
Tb2 Tb 0.0000 0.1345 0.5356
Nd1 Nd 0.0000 0.2228 0.7500
Nd2 Nd 0.0000 0.4576 0.6058
Tl1 Tl 0.0000 0.2710 0.1300

# Ba3NaCa, optimized geometry, DFT PBE
# ΔH_f (0 K), eV/f.u.: 0.23
# D(E_F), states/eV/cell: 24.28
# Energy above the most stable polymorph in this dataset, kJ/mol of atoms: 0.0
data_Ba3NaCa
_cell_length_a 6.1584
_cell_length_b 21.3357
_cell_length_c 8.3491
_cell_angle_alpha 90.00
_cell_angle_beta 90.00
_cell_angle_gamma 90.00
_space_group_name_H-M_alt 'C m c m'
_space_group_IT_number 63
_space_group_name_Hall '-C 2c 2'
loop_
_atom_site_label
_atom_site_type_symbol
_atom_site_fract_x
_atom_site_fract_y
_atom_site_fract_z
Ba1 Ba 0.0000 0.0976 0.0015
Ba2 Ba 0.0000 0.2891 0.2500
Na1 Na 0.0000 0.3225 0.7500
Ca1 Ca 0.0000 0.4968 0.2500

# FeReMo2, optimized geometry, DFT PBE
# ΔH_f (0 K), eV/f.u.: 0.45
# D(E_F), states/eV/cell: 7.34
# Energy above the most stable polymorph in this dataset, kJ/mol of atoms: 2.4
data_FeReMo2
_cell_length_a 3.1404
_cell_length_b 4.3170
_cell_length_c 8.6890
_cell_angle_alpha 90.00
_cell_angle_beta 90.00
_cell_angle_gamma 90.00
_space_group_name_H-M_alt 'I m m m'
_space_group_IT_number 71
_space_group_name_Hall '-I 2 2'
loop_
_atom_site_label
_atom_site_type_symbol
_atom_site_fract_x
_atom_site_fract_y
_atom_site_fract_z
Fe1 Fe 0.0000 0.0000 0.0000
Re1 Re 0.0000 0.0000 0.5000
Mo1 Mo 0.0000 0.5000 0.2486

# ThPd6Au5, optimized geometry, DFT PBE
# ΔH_f (0 K), eV/f.u.: -4.71
# D(E_F), states/eV/cell: 6.75
data_ThPd6Au5
_cell_length_a 4.3261
_cell_length_b 7.6985
_cell_length_c 12.7420
_cell_angle_alpha 90.00
_cell_angle_beta 90.00
_cell_angle_gamma 90.00
_space_group_name_H-M_alt 'I m m m'
_space_group_IT_number 71
_space_group_name_Hall '-I 2 2'
loop_
_atom_site_label
_atom_site_type_symbol
_atom_site_fract_x
_atom_site_fract_y
_atom_site_fract_z
Th1 Th 0.0000 0.0000 0.0000
Pd1 Pd 0.0000 0.2419 0.5000
Pd2 Pd 0.0000 0.2520 0.1666
Au1 Au 0.0000 0.0000 0.3316
Au2 Au 0.0000 0.5000 0.0000
Au3 Au 0.0000 0.5000 0.3306

# TbGdFeAg, optimized geometry, DFT PBE
# ΔH_f (0 K), eV/f.u.: -0.04
# D(E_F), states/eV/cell: 30.23
data_TbGdFeAg
_cell_length_a 7.0881
_cell_length_b 7.0881
_cell_length_c 7.0881
_cell_angle_alpha 90.00
_cell_angle_beta 90.00
_cell_angle_gamma 90.00
_space_group_name_H-M_alt 'F -4 3 m'
_space_group_IT_number 216
_space_group_name_Hall 'F -4 2 3'
loop_
_atom_site_label
_atom_site_type_symbol
_atom_site_fract_x
_atom_site_fract_y
_atom_site_fract_z
Tb1 Tb 0.0000 0.0000 0.0000
Gd1 Gd 0.0000 0.0000 0.5000
Fe1 Fe 0.2500 0.2500 0.7500
Ag1 Ag 0.2500 0.2500 0.2500

Question: D(E_F) of number 1 (NaPuInPt)?
Answer: 39.71 states/eV/cell

Repeat the fourth record exactly.
# FeReMo2, optimized geometry, DFT PBE
# ΔH_f (0 K), eV/f.u.: 0.45
# D(E_F), states/eV/cell: 7.34
# Energy above the most stable polymorph in this dataset, kJ/mol of atoms: 2.4
data_FeReMo2
_cell_length_a 3.1404
_cell_length_b 4.3170
_cell_length_c 8.6890
_cell_angle_alpha 90.00
_cell_angle_beta 90.00
_cell_angle_gamma 90.00
_space_group_name_H-M_alt 'I m m m'
_space_group_IT_number 71
_space_group_name_Hall '-I 2 2'
loop_
_atom_site_label
_atom_site_type_symbol
_atom_site_fract_x
_atom_site_fract_y
_atom_site_fract_z
Fe1 Fe 0.0000 0.0000 0.0000
Re1 Re 0.0000 0.0000 0.5000
Mo1 Mo 0.0000 0.5000 0.2486

Question: Which value of D(E_F) does entry 4 give?
Answer: 7.34 states/eV/cell